## ErPaP2Ir5 (PBE)

Data for ErPaP2Ir5 after structural relaxation.

Values from the calculation:
energy of formation = -0.568 eV per atom
calculated total energy = -0.3034 Ha/atom

a = 4.0323 Å, b = 4.0323 Å, c = 10.8708 Å
α = 90.00°, β = 90.00°, γ = 90.00°
Last column: nearest neighbours and their distance in Å.
Space group P4/mmm (No. 123)
Inequivalent atoms, fractional coordinates:
Er 0.0000 0.0000 0.0000 (multiplicity 1)  8 Ir 2.93
Pa 0.0000 0.0000 0.5000 (multiplicity 1)  4 Ir 2.85
P 0.5000 0.5000 0.2887 (multiplicity 2)  5 Ir 2.25-2.30
Ir 0.0000 0.5000 0.1960 (multiplicity 4)  2 P 2.25
Ir 0.5000 0.5000 0.5000 (multiplicity 1)  2 P 2.30